Material: Ba2TlSb4Au3
Method: DFT, GGA-PBE
State: relaxed

Cell and atoms, written as extended XYZ:
```
10
Lattice="5.0901 0.0000 0.0000 0.0000 5.0901 0.0000 0.0000 0.0000 11.2597" Properties=species:S:1:pos:R:3 pbc="T T T"
Ba 0.0000 2.5450 2.7749
Ba 2.5450 0.0000 8.4848
Tl 0.0000 0.0000 5.6299
Sb 0.0000 0.0000 0.0000
Sb 0.0000 2.5450 7.1836
Sb 2.5450 0.0000 4.0762
Sb 2.5450 2.5450 0.0000
Au 0.0000 2.5450 9.9271
Au 2.5450 0.0000 1.3326
Au 2.5450 2.5450 5.6299
```

Output
Formation energy (no corrections)   -12.0 kcal/mol of atoms
Raw total energy   -3.774 eV per atom
Space-group type   P-4m2

---

Material: BaTl2Sb2Au
Method: DFT, GGA-PBE
State: relaxed

Cell and atoms, written as extended XYZ:
```
6
Lattice="-3.0543 3.0543 6.1376 3.0543 -3.0543 6.1376 3.0543 3.0543 -6.1376" Properties=species:S:1:pos:R:3 pbc="T T T"
Ba 0.0000 0.0000 0.0000
Tl 3.0543 0.0000 3.0688
Tl 0.0000 3.0543 3.0688
Sb 0.0000 0.0000 3.5616
Sb 0.0000 0.0000 8.7137
Au 0.0000 0.0000 6.1376
```

Output
Formation energy (no corrections)   -3.3 kcal/mol of atoms
Raw total energy   -3.172 eV per atom
Space-group type   I4/mmm

---

Material: BaTlSb2Au5
Method: DFT, GGA-PBE
State: relaxed

Cell and atoms, written as extended XYZ:
```
9
Lattice="5.3319 0.0000 0.0000 0.0000 5.3319 0.0000 0.0000 0.0000 9.2738" Properties=species:S:1:pos:R:3 pbc="T T T"
Ba 0.0000 0.0000 0.0000
Tl 0.0000 0.0000 4.6369
Sb 2.6660 2.6660 2.6067
Sb 2.6660 2.6660 6.6671
Au 0.0000 2.6660 2.9492
Au 0.0000 2.6660 6.3246
Au 2.6660 0.0000 2.9492
Au 2.6660 0.0000 6.3246
Au 2.6660 2.6660 0.0000
```

Output
Formation energy (no corrections)   -5.3 kcal/mol of atoms
Raw total energy   -3.444 eV per atom
Space-group type   P4/mmm

---

Material: BaYSb2Au2
Method: DFT, GGA-PBE
State: relaxed

Cell and atoms, written as extended XYZ:
```
6
Lattice="4.7349 0.0000 0.0000 -2.3674 4.1005 0.0000 0.0000 0.0000 8.7051" Properties=species:S:1:pos:R:3 pbc="T T T"
Ba 0.0000 0.0000 0.0000
Y 0.0000 0.0000 4.3525
Sb 0.0000 2.7337 6.4001
Sb 2.3674 1.3668 2.3050
Au 0.0000 2.7337 2.7823
Au 2.3674 1.3668 5.9227
```

Output
Formation energy (no corrections)   -19.5 kcal/mol of atoms
Raw total energy   -4.711 eV per atom
Space-group type   P-3m1

---

Material: Ba2ZnSbAu6
Method: DFT, GGA-PBE
State: relaxed

Cell and atoms, written as extended XYZ:
```
10
Lattice="6.8076 -2.8306 0.0000 6.8076 2.8306 0.0000 -6.5326 0.0000 6.8495" Properties=species:S:1:pos:R:3 pbc="T T T"
Ba 1.9889 0.0000 1.3876
Ba 5.0938 0.0000 5.4620
Zn -3.2663 0.0000 3.4248
Sb 6.8076 0.0000 0.0000
Au -0.5665 0.0000 4.0895
Au 1.9718 1.4117 4.9867
Au 5.1108 1.4117 1.8629
Au 1.9718 -1.4117 4.9867
Au 5.1108 -1.4117 1.8629
Au 7.6491 0.0000 2.7600
```

Output
Formation energy (no corrections)   -11.1 kcal/mol of atoms
Raw total energy   -3.371 eV per atom
Space-group type   C2/m

---

Material: BaSc2Au
Method: DFT, GGA-PBE
State: relaxed

Cell and atoms, written as extended XYZ:
```
4
Lattice="3.5437 0.0000 0.0000 0.0000 3.5349 0.0000 -0.0085 0.0000 9.0710" Properties=species:S:1:pos:R:3 pbc="T T T"
Ba 0.0000 0.0000 0.0000
Sc 1.7696 1.7675 3.0025
Sc 1.7656 1.7675 6.0685
Au -0.0043 0.0000 4.5355
```

Output
Energy relative to the elements   -0.180 eV per atom
Distance to the lowest polymorph of the same formula   0.193 eV/f.u.
Raw total energy   -4.646 eV per atom
Space-group type   P2/m

---

Material: BaScAu2
Method: DFT, GGA-PBE
State: relaxed

Cell and atoms, written as extended XYZ:
```
4
Lattice="5.3427 0.0000 0.0000 0.0000 5.3427 0.0000 0.0000 0.0000 3.5888" Properties=species:S:1:pos:R:3 pbc="T T T"
Ba 0.0000 0.0000 0.0000
Sc 2.6713 2.6713 0.0000
Au 0.0000 2.6713 1.7944
Au 2.6713 0.0000 1.7944
```

Output
Energy relative to the elements   -0.488 eV per atom
Distance to the lowest polymorph of the same formula   0.706 eV/f.u.
Raw total energy   -4.190 eV per atom
Space-group type   P4/mmm

---

Material: BaSc2Au
Method: DFT, GGA-PBE
State: relaxed

Cell and atoms, written as extended XYZ:
```
4
Lattice="-1.7584 2.8367 5.7877 1.7584 -2.8367 5.7877 1.7584 2.8367 -5.7877" Properties=species:S:1:pos:R:3 pbc="T T T"
Ba 0.0000 0.0000 0.0000
Sc 1.7584 0.0000 3.4709
Sc 0.0000 2.8367 2.3168
Au 0.0000 0.0000 5.7877
```

Output
Energy relative to the elements   -0.166 eV per atom
Distance to the lowest polymorph of the same formula   0.249 eV/f.u.
Raw total energy   -4.632 eV per atom
Space-group type   Immm

---

Material: BaScAu2
Method: DFT, GGA-PBE
State: relaxed

Cell and atoms, written as extended XYZ:
```
4
Lattice="0.0000 3.7459 3.7459 3.7459 0.0000 3.7459 3.7459 3.7459 0.0000" Properties=species:S:1:pos:R:3 pbc="T T T"
Ba 0.0000 0.0000 0.0000
Sc 3.7459 3.7459 3.7459
Au 1.8730 1.8730 1.8730
Au 5.6189 5.6189 5.6189
```

Output
Energy relative to the elements   -0.414 eV per atom
Distance to the lowest polymorph of the same formula   1.001 eV/f.u.
Raw total energy   -4.116 eV per atom
Space-group type   Fm-3m

---

Material: BaScAu4
Method: DFT, GGA-PBE
State: relaxed

Cell and atoms, written as extended XYZ:
```
6
Lattice="0.0000 4.0905 4.0905 4.0905 0.0000 4.0905 4.0905 4.0905 0.0000" Properties=species:S:1:pos:R:3 pbc="T T T"
Ba 0.0000 0.0000 0.0000
Sc 6.1357 6.1357 6.1357
Au 3.0767 3.0767 3.0767
Au 5.1043 5.1043 3.0767
Au 5.1043 3.0767 5.1043
Au 3.0767 5.1043 5.1043
```

Output
Energy relative to the elements   -0.325 eV per atom
Raw total energy   -3.886 eV per atom
Space-group type   F-43m

---

Material: Ba2ScAu
Method: DFT, GGA-PBE
State: relaxed

Cell and atoms, written as extended XYZ:
```
4
Lattice="-2.4201 2.4201 5.9394 2.4201 -2.4201 5.9394 2.4201 2.4201 -5.9394" Properties=species:S:1:pos:R:3 pbc="T T T"
Ba 0.0000 0.0000 0.0000
Ba 0.0000 2.4201 2.9697
Sc 2.4201 0.0000 2.9697
Au 0.0000 0.0000 5.9394
```

Output
Energy relative to the elements   0.093 eV per atom
Distance to the lowest polymorph of the same formula   1.344 eV/f.u.
Raw total energy   -3.270 eV per atom
Space-group type   I-4m2

---

Material: Ba2Sc2Au
Method: DFT, GGA-PBE
State: relaxed

Cell and atoms, written as extended XYZ:
```
5
Lattice="-2.1698 2.1698 8.7814 2.1698 -2.1698 8.7814 2.1698 2.1698 -8.7814" Properties=species:S:1:pos:R:3 pbc="T T T"
Ba 2.1698 0.0000 4.3907
Ba 0.0000 2.1698 4.3907
Sc 0.0000 0.0000 1.3198
Sc 0.0000 0.0000 16.2430
Au 0.0000 0.0000 8.7814
```

Output
Energy relative to the elements   0.721 eV per atom
Distance to the lowest polymorph of the same formula   3.596 eV/f.u.
Raw total energy   -3.237 eV per atom
Space-group type   I4/mmm